[1]
Compound: Tm3Ti5H12
Source: Alexandria
Functional: PBE-GGA
Structure: relaxed

Geometry as CIF:
```
data_Tm3Ti5H12
_space_group_name_H-M_alt 'I a -3 d'
_space_group_IT_number 230
_space_group_name_Hall '-I 4bd 2c 3'
_cell_length_a 11.6709
_cell_length_b 11.6709
_cell_length_c 11.6709
_cell_angle_alpha 90.00
_cell_angle_beta 90.00
_cell_angle_gamma 90.00
loop_
_atom_site_label
_atom_site_type_symbol
_atom_site_fract_x
_atom_site_fract_y
_atom_site_fract_z
_atom_site_occupancy
Tm1 Tm 0.0000 0.2500 0.1250 1
Ti1 Ti 0.0000 0.0000 0.0000 1
Ti2 Ti 0.0000 0.2500 0.3750 1
H1 H 0.0157 0.0630 0.6489 1
```

D(E_F): 80.96 states/eV/cell
V: 1590 Å³/cell
DFT total energy: -5.07 eV/atom



[2]
Compound: TmTiH
Source: Alexandria
Functional: PBE-GGA
Structure: relaxed

Geometry as CIF:
```
data_TmTiH
_space_group_name_H-M_alt 'P -3 m 1'
_space_group_IT_number 164
_space_group_name_Hall '-P 3 2"'
_cell_length_a 3.1740
_cell_length_b 3.1740
_cell_length_c 21.3559
_cell_angle_alpha 90.00
_cell_angle_beta 90.00
_cell_angle_gamma 120.00
loop_
_atom_site_label
_atom_site_type_symbol
_atom_site_fract_x
_atom_site_fract_y
_atom_site_fract_z
_atom_site_occupancy
Tm1 Tm 0.3333 0.6667 0.2840 1
Tm2 Tm 0.3333 0.6667 0.4335 1
Ti1 Ti 0.3333 0.6667 0.8283 1
Ti2 Ti 0.3333 0.6667 0.9508 1
H1 H 0.3333 0.6667 0.1162 1
H2 H 0.3333 0.6667 0.6402 1
```

D(E_F): 6.87 states/eV/cell
V: 186 Å³/cell
DFT total energy: -5.24 eV/atom



[3]
Compound: U2TiH3
Source: Alexandria
Functional: PBE-GGA
Structure: relaxed

Geometry as CIF:
```
data_U2TiH3
_space_group_name_H-M_alt 'P 6/m m m'
_space_group_IT_number 191
_space_group_name_Hall '-P 6 2'
_cell_length_a 4.6954
_cell_length_b 4.6954
_cell_length_c 3.6770
_cell_angle_alpha 90.00
_cell_angle_beta 90.00
_cell_angle_gamma 120.00
loop_
_atom_site_label
_atom_site_type_symbol
_atom_site_fract_x
_atom_site_fract_y
_atom_site_fract_z
_atom_site_occupancy
U1 U 0.3333 0.6667 0.0000 1
Ti1 Ti 0.0000 0.0000 0.5000 1
H1 H 0.0000 0.5000 0.5000 1
```

D(E_F): 7.34 states/eV/cell
V: 70 Å³/cell
DFT total energy: -6.74 eV/atom



[4]
Compound: U3Ti5H12
Source: Alexandria
Functional: PBE-GGA
Structure: relaxed

Geometry as CIF:
```
data_U3Ti5H12
_space_group_name_H-M_alt 'I a -3 d'
_space_group_IT_number 230
_space_group_name_Hall '-I 4bd 2c 3'
_cell_length_a 11.7447
_cell_length_b 11.7447
_cell_length_c 11.7447
_cell_angle_alpha 90.00
_cell_angle_beta 90.00
_cell_angle_gamma 90.00
loop_
_atom_site_label
_atom_site_type_symbol
_atom_site_fract_x
_atom_site_fract_y
_atom_site_fract_z
_atom_site_occupancy
U1 U 0.0000 0.2500 0.1250 1
Ti1 Ti 0.0000 0.0000 0.0000 1
Ti2 Ti 0.0000 0.2500 0.3750 1
H1 H 0.0198 0.0640 0.6464 1
```

D(E_F): 161.19 states/eV/cell
V: 1620 Å³/cell
DFT total energy: -5.90 eV/atom